Compound: Ti5Al8Rh
Source: Alexandria via LeMat-Bulk
Functional: PBE-GGA
Structure: optimized geometry

calculated formation energy = -251 meV per atom
magnetization = 0.000 μB/f.u.
total energy = -80.28 eV/cell

```
data_Ti5Al8Rh
_cell_length_a 6.7284
_cell_length_b 6.7284
_cell_length_c 6.7284
_cell_angle_alpha 109.61
_cell_angle_beta 109.61
_cell_angle_gamma 109.19
_space_group_name_H-M_alt 'P 1'
_space_group_IT_number 1
_space_group_name_Hall 'P 1'
loop_
_atom_site_label
_atom_site_type_symbol
_atom_site_fract_x
_atom_site_fract_y
_atom_site_fract_z
_atom_site_occupancy
Ti1 Ti 0.0000 0.0000 0.0000 1
Ti2 Ti 0.2250 0.6408 0.1969 1
Ti3 Ti 0.3592 0.5561 0.5842 1
Ti4 Ti 0.4439 0.0281 0.8031 1
Ti5 Ti 0.9719 0.7750 0.4158 1
Al1 Al 0.1013 0.6689 0.7840 1
Al2 Al 0.1608 0.2609 0.7711 1
Al3 Al 0.3311 0.1151 0.4324 1
Al4 Al 0.4898 0.3897 0.2289 1
Al5 Al 0.6103 0.8392 0.1001 1
Al6 Al 0.6827 0.8987 0.5676 1
Al7 Al 0.7391 0.5102 0.8999 1
Al8 Al 0.8849 0.3173 0.2160 1
Rh1 Rh 0.7500 0.2500 0.5000 1
```